Entry 1:
Pm4SiPb: relaxed, PBE.

Raw formation energy   -0.244 eV per atom

a = 7.5821 Å, b = 7.3405 Å, c = 7.3062 Å
α = 90.00°, β = 90.11°, γ = 90.00°
With the nearest neighbours (Å) after each atom.
Space group P2_1/c (No. 14)
Inequivalent atoms, fractional coordinates:
1 Pm 0.1483 0.1702 0.1756 x4  2 Si 2.91-2.96, 1 Pb 3.21
2 Pm 0.3176 0.6525 0.1456 x4  1 Si 2.86, 2 Pb 3.09-3.14
3 Si 0.0000 0.0000 0.5000 x2  6 Pm 2.86-2.96
4 Pb 0.5000 0.0000 0.0000 x2  6 Pm 3.09-3.21

Entry 2:
Pm6Si4Pb: relaxed, PBE.

Raw formation energy   -0.485 eV per atom

a = 7.4994 Å, b = 7.4994 Å, c = 10.6573 Å
α = 90.00°, β = 90.00°, γ = 90.00°
With the nearest neighbours (Å) after each atom.
Space group I-42m (No. 121)
Inequivalent atoms, fractional coordinates:
1 Pm 0.0000 0.5000 0.0000 x4  4 Si 3.00
2 Pm 0.1860 0.1860 0.2713 x8  4 Si 2.90-3.19
3 Si 0.1348 0.1348 0.5663 x8  2 Si 2.47
4 Pb 0.0000 0.0000 0.0000 x2  8 Pm 3.50-3.75

Entry 3:
PmSiPb2: relaxed, PBE.

Raw formation energy   -0.181 eV per atom

a = 4.6102 Å, b = 4.6102 Å, c = 4.9611 Å
α = 90.00°, β = 90.00°, γ = 90.00°
With the nearest neighbours (Å) after each atom.
Space group P4/mmm (No. 123)
Inequivalent atoms, fractional coordinates:
1 Pm 0.0000 0.0000 0.0000 x1  4 Si 3.26, 8 Pb 3.39
2 Si 0.5000 0.5000 0.0000 x1  4 Pm 3.26, 8 Pb 3.39
3 Pb 0.0000 0.5000 0.5000 x2  4 Pb 3.26, 4 Pm 3.39, 4 Si 3.39

Entry 4:
Pm12Si7Pb: relaxed, PBE.

Raw formation energy   -0.336 eV per atom

a = 10.8589 Å, b = 10.8589 Å, c = 10.8589 Å
α = 90.00°, β = 90.00°, γ = 90.00°
With the nearest neighbours (Å) after each atom.
Space group Im-3 (No. 204)
Inequivalent atoms, fractional coordinates:
1 Pm 0.0000 0.1854 0.3046 x24  3 Si 2.87-2.92
2 Si 0.0000 0.0000 0.5000 x6  4 Pm 2.92
3 Si 0.2500 0.2500 0.2500 x8  6 Pm 2.87
4 Pb 0.0000 0.0000 0.0000 x2  12 Pm 3.87

Entry 5:
Pm3SiPb: relaxed, PBE.

Raw formation energy   -0.451 eV per atom
ΔE to the lowest computed polymorph   0 meV per atom

a = 7.6694 Å, b = 7.6694 Å, c = 5.8471 Å
α = 90.00°, β = 90.00°, γ = 120.00°
With the nearest neighbours (Å) after each atom.
Space group P6_3/mmc (No. 194)
Inequivalent atoms, fractional coordinates:
1 Pm 0.1826 0.3653 0.2500 x6  2 Si 2.83
2 Si 0.0000 0.0000 0.0000 x2  6 Pm 2.83, 2 Si 2.92
3 Pb 0.3333 0.6667 0.7500 x2  12 Pm 3.54-3.84

Entry 6:
Pm3SiPb: relaxed, PBE.

Raw formation energy   -0.350 eV per atom
ΔE to the lowest computed polymorph   100 meV per atom

a = 5.5077 Å, b = 5.5077 Å, c = 5.5077 Å
α = 90.00°, β = 90.00°, γ = 90.00°
With the nearest neighbours (Å) after each atom.
Space group Pm-3m (No. 221)
Inequivalent atoms, fractional coordinates:
1 Pm 0.0000 0.0000 0.5000 x3  2 Si 2.75
2 Si 0.0000 0.0000 0.0000 x1  6 Pm 2.75
3 Pb 0.5000 0.5000 0.5000 x1  12 Pm 3.89

Entry 7:
Pm2Si2Pb: relaxed, PBE.

Raw formation energy   -0.656 eV per atom

a = 3.8948 Å, b = 14.9429 Å, c = 4.2178 Å
α = 90.00°, β = 90.00°, γ = 90.00°
With the nearest neighbours (Å) after each atom.
Space group Cmmm (No. 65)
Inequivalent atoms, fractional coordinates:
1 Pm 0.0000 0.1386 0.0000 x4  6 Si 3.03-3.17
2 Si 0.0000 0.2967 0.5000 x4  2 Si 2.40
3 Pb 0.0000 0.5000 0.5000 x2  2 Si 3.04

Entry 8:
Pm6Si3Pb: relaxed, PBE.

Raw formation energy   -0.355 eV per atom

a = 4.1182 Å, b = 4.1182 Å, c = 22.0001 Å
α = 90.00°, β = 90.00°, γ = 120.00°
With the nearest neighbours (Å) after each atom.
Space group P-3m1 (No. 164)
Inequivalent atoms, fractional coordinates:
1 Pm 0.3333 0.6667 0.0750 x2  3 Si 2.89
2 Pm 0.3333 0.6667 0.3912 x2  3 Si 2.93
3 Pm 0.3333 0.6667 0.7589 x2  3 Si 2.86
4 Si 0.0000 0.0000 0.0000 x1  6 Pm 2.89
5 Si 0.0000 0.0000 0.3134 x2  6 Pm 2.86-2.93
6 Pb 0.0000 0.0000 0.5000 x1  6 Pm 3.37

Entry 9:
Pm8Si4Pb: relaxed, PBE.

Raw formation energy   -0.296 eV per atom

a = 10.3981 Å, b = 10.3981 Å, c = 6.7176 Å
α = 90.00°, β = 90.00°, γ = 90.00°
With the nearest neighbours (Å) after each atom.
Space group I4/mmm (No. 139)
Inequivalent atoms, fractional coordinates:
1 Pm 0.0000 0.2259 0.0000 x8  4 Si 3.10, 4 Pm 3.32-3.45
2 Pm 0.0000 0.3000 0.5000 x8  1 Pb 3.12, 4 Si 3.14, 2 Pm 3.45
3 Si 0.2500 0.2500 0.2500 x8  8 Pm 3.10-3.14, 2 Si 3.36
4 Pb 0.0000 0.0000 0.5000 x2  4 Pm 3.12

Entry 10:
Pm7Si2Pb3: relaxed, PBE.

Raw formation energy   -0.344 eV per atom

a = 5.4999 Å, b = 26.4174 Å, c = 5.3932 Å
α = 90.00°, β = 90.00°, γ = 90.00°
With the nearest neighbours (Å) after each atom.
Space group Cmmm (No. 65)
Inequivalent atoms, fractional coordinates:
1 Pm 0.0000 0.0000 0.0000 x2  2 Si 2.78
2 Pm 0.0000 0.0983 0.5000 x4  2 Si 2.70
3 Pm 0.0000 0.2101 0.0000 x4  1 Si 2.77
4 Pm 0.0000 0.3904 0.0000 x4  2 Si 2.75
5 Si 0.0000 0.1053 0.0000 x4  6 Pm 2.70-2.78
6 Pb 0.0000 0.3104 0.5000 x4  6 Pm 3.43-3.78
7 Pb 0.0000 0.5000 0.5000 x2  12 Pm 3.78-3.96

Entry 11:
Pm4SiPb3: relaxed, PBE.

Raw formation energy   -0.454 eV per atom

a = 10.4617 Å, b = 12.6480 Å, c = 3.7369 Å
α = 90.00°, β = 90.00°, γ = 90.00°
With the nearest neighbours (Å) after each atom.
Space group Cmmm (No. 65)
Inequivalent atoms, fractional coordinates:
1 Pm 0.0000 0.2380 0.0000 x4  1 Si 3.01, 5 Pb 3.22-3.31
2 Pm 0.2238 0.0000 0.5000 x4  2 Si 3.00, 2 Pb 3.17
3 Si 0.0000 0.0000 0.0000 x2  6 Pm 3.00-3.01
4 Pb 0.0000 0.5000 0.0000 x2  6 Pm 3.31-3.44
5 Pb 0.2500 0.2500 0.5000 x4  6 Pm 3.17-3.22

Entry 12:
Pm4SiTe2Pb: relaxed, PBE.

Raw formation energy   -1.055 eV per atom

a = 7.7142 Å, b = 4.4045 Å, c = 7.7478 Å
α = 90.00°, β = 109.03°, γ = 90.00°
With the nearest neighbours (Å) after each atom.
Space group P2/m (No. 10)
Inequivalent atoms, fractional coordinates:
1 Pm 0.2311 0.0000 0.2274 x2  2 Si 3.01, 1 Pb 3.13, 3 Te 3.18-3.28
2 Pm 0.2419 0.5000 0.7631 x2  1 Si 3.01, 2 Pb 3.13, 3 Te 3.16-3.28
3 Si 0.0000 0.5000 0.0000 x1  6 Pm 3.01
4 Te 0.0000 0.0000 0.5000 x1  6 Pm 3.16-3.18
5 Te 0.5000 0.5000 0.5000 x1  6 Pm 3.28
6 Pb 0.5000 0.0000 0.0000 x1  6 Pm 3.13

Entry 13:
Pm3SmPb4: relaxed, PBE.

ΔE to the lowest computed polymorph   100 meV per atom

a = 8.8977 Å, b = 12.8543 Å, c = 4.6569 Å
α = 90.00°, β = 90.00°, γ = 90.00°
With the nearest neighbours (Å) after each atom.
Space group Cmmm (No. 65)
Inequivalent atoms, fractional coordinates:
1 Pm 0.0000 0.0000 0.0000 x2  6 Pb 3.22-3.23
2 Pm 0.2500 0.2500 0.5000 x4  6 Pb 3.21-3.22
3 Sm 0.0000 0.5000 0.0000 x2  6 Pb 3.21
4 Pb 0.0000 0.2505 0.0000 x4  1 Sm 3.21, 5 Pm 3.22
5 Pb 0.2490 0.5000 0.5000 x4  4 Pm 3.21-3.23, 2 Sm 3.21

Entry 14:
Pm6SmPb4: relaxed, PBE.

a = 9.9173 Å, b = 9.9173 Å, c = 4.2989 Å
α = 90.00°, β = 90.00°, γ = 120.00°
With the nearest neighbours (Å) after each atom.
Space group P-6m2 (No. 187)
Inequivalent atoms, fractional coordinates:
1 Pm 0.1967 0.3933 0.0000 x3  4 Pb 3.13-3.18
2 Pm 0.5402 0.0804 0.5000 x3  5 Pb 3.40-3.55, 6 Pm 3.76-3.80
3 Sm 0.0000 0.0000 0.5000 x1  6 Pb 3.53
4 Pb 0.3266 0.1633 0.0000 x3  6 Pm 3.13-3.40
5 Pb 0.3333 0.6667 0.5000 x1  9 Pm 3.18-3.55

Entry 15:
PmSm5Pb5: relaxed, PBE.

a = 14.5847 Å, b = 6.3625 Å, c = 8.6881 Å
α = 90.00°, β = 107.24°, γ = 90.00°
With the nearest neighbours (Å) after each atom.
Space group C2/m (No. 12)
Inequivalent atoms, fractional coordinates:
1 Pm 0.0000 0.0000 0.0000 x2  6 Pb 3.18-3.19
2 Sm 0.0000 0.0000 0.5000 x2  4 Pb 3.14-3.15
3 Sm 0.1654 0.5000 0.3351 x4  5 Pb 3.17-3.19
4 Sm 0.1676 0.5000 0.8327 x4  5 Pb 3.18-3.21
5 Pb 0.0000 0.5000 0.0000 x2  2 Pm 3.18, 4 Sm 3.18-3.19
6 Pb 0.1654 0.0000 0.3360 x4  5 Sm 3.14-3.19, 1 Pm 3.19
7 Pb 0.1655 0.0000 0.8287 x4  5 Sm 3.15-3.21, 1 Pm 3.19

Entry 16:
PmSmPb: relaxed, PBE.

ΔE to the lowest computed polymorph   0 meV per atom

a = 4.6420 Å, b = 4.6420 Å, c = 8.8669 Å
α = 90.00°, β = 90.00°, γ = 90.00°
With the nearest neighbours (Å) after each atom.
Space group P4/nmm (No. 129, origin choice 2)
Inequivalent atoms, fractional coordinates:
1 Pm 0.2500 0.7500 0.0000 x2  4 Pm 3.28, 4 Pb 3.44
2 Sm 0.2500 0.2500 0.3469 x2  5 Pb 3.26-3.33
3 Pb 0.2500 0.2500 0.7143 x2  5 Sm 3.26-3.33, 4 Pm 3.44

Entry 17:
Pm2Sm2Pb7: relaxed, PBE.

a = 9.4765 Å, b = 11.1527 Å, c = 7.3509 Å
α = 90.00°, β = 90.00°, γ = 90.00°
With the nearest neighbours (Å) after each atom.
Space group Cmmm (No. 65)
Inequivalent atoms, fractional coordinates:
1 Pm 0.0000 0.2191 0.0000 x4  7 Pb 3.13-3.27
2 Sm 0.1892 0.5000 0.5000 x4  6 Pb 3.24-3.31, 1 Sm 3.59
3 Pb 0.0000 0.0000 0.2951 x4  1 Pb 3.01, 2 Pm 3.27, 2 Sm 3.31
4 Pb 0.0000 0.5000 0.0000 x2  2 Pm 3.13
5 Pb 0.2500 0.2500 0.2883 x8  1 Pb 3.11, 2 Pm 3.20, 2 Sm 3.24

Entry 18:
PmSmPb2: relaxed, PBE.

a = 3.5954 Å, b = 3.5954 Å, c = 9.1404 Å
α = 90.00°, β = 90.00°, γ = 90.00°
With the nearest neighbours (Å) after each atom.
Space group P4/mmm (No. 123)
Inequivalent atoms, fractional coordinates:
1 Pm 0.0000 0.0000 0.0000 x1  8 Pb 3.43, 4 Pm 3.60
2 Sm 0.0000 0.0000 0.5000 x1  8 Pb 3.41, 4 Sm 3.60
3 Pb 0.5000 0.5000 0.2512 x2  4 Sm 3.41, 4 Pm 3.43, 4 Pb 3.60

Entry 19:
Pm2SmPb: relaxed, PBE.

ΔE to the lowest computed polymorph   187 meV per atom

a = 7.9045 Å, b = 7.9045 Å, c = 7.9045 Å
α = 90.00°, β = 90.00°, γ = 90.00°
With the nearest neighbours (Å) after each atom.
Space group Fm-3m (No. 225)
Inequivalent atoms, fractional coordinates:
1 Pm 0.2500 0.2500 0.2500 x8  4 Pb 3.42, 4 Sm 3.42
2 Sm 0.0000 0.0000 0.0000 x4  8 Pm 3.42
3 Pb 0.0000 0.0000 0.5000 x4  8 Pm 3.42

Entry 20:
Pm8Sm5Pb: relaxed, PBE.

a = 13.0368 Å, b = 11.2367 Å, c = 9.1953 Å
α = 90.00°, β = 134.69°, γ = 90.00°
With the nearest neighbours (Å) after each atom.
Space group C2 (No. 5)
Inequivalent atoms, fractional coordinates:
1 Pm 0.0664 0.0000 0.3353 x4  1 Pb 3.28, 3 Pm 3.35-3.65, 5 Sm 3.37-3.56
2 Pm 0.0665 0.4316 0.3346 x4  1 Pb 3.29, 5 Sm 3.35-3.64, 3 Pm 3.50-3.52
3 Pm 0.1574 0.7165 0.7495 x4  3 Sm 3.28-3.67, 1 Pm 3.38
4 Pm 0.2189 0.9049 0.1403 x4  2 Sm 3.34-3.49, 5 Pm 3.35-3.69, 1 Pb 3.44
5 Sm 0.0000 0.2163 0.0000 x2  6 Pm 3.28-3.52
6 Sm 0.1544 0.7156 0.3478 x4  1 Sm 3.33, 7 Pm 3.34-3.67, 1 Pb 3.66
7 Sm 0.2182 0.5277 0.1396 x4  1 Sm 3.33, 6 Pm 3.35-3.68, 1 Pb 3.44
8 Pb 0.0000 0.2157 0.5000 x2  6 Pm 3.28-3.44, 4 Sm 3.44-3.66

Entry 21:
Pm14SmPb: relaxed, PBE.

a = 7.2373 Å, b = 7.2373 Å, c = 10.2372 Å
α = 90.00°, β = 90.00°, γ = 90.00°
With the nearest neighbours (Å) after each atom.
Space group P4/mmm (No. 123)
Inequivalent atoms, fractional coordinates:
1 Pm 0.0000 0.0000 0.0000 x1  12 Pm 3.62-3.63
2 Pm 0.0000 0.5000 0.0000 x2  12 Pm 3.62-3.65
3 Pm 0.0000 0.5000 0.5000 x2  8 Pm 3.59, 2 Pb 3.62, 2 Sm 3.62
4 Pm 0.2481 0.2481 0.2538 x8  1 Pb 3.58, 10 Pm 3.59-3.66, 1 Sm 3.61
5 Pm 0.5000 0.5000 0.0000 x1  12 Pm 3.62-3.66
6 Sm 0.5000 0.5000 0.5000 x1  12 Pm 3.61-3.62
7 Pb 0.0000 0.0000 0.5000 x1  12 Pm 3.58-3.62

Entry 22:
PmSmPb2: relaxed, PBE.

a = 5.0828 Å, b = 5.0828 Å, c = 4.5636 Å
α = 90.00°, β = 90.00°, γ = 90.00°
With the nearest neighbours (Å) after each atom.
Space group P4/mmm (No. 123)
Inequivalent atoms, fractional coordinates:
1 Pm 0.0000 0.0000 0.0000 x1  8 Pb 3.42, 4 Sm 3.59
2 Sm 0.5000 0.5000 0.0000 x1  8 Pb 3.42, 4 Pm 3.59
3 Pb 0.0000 0.5000 0.5000 x2  4 Pm 3.42, 4 Sm 3.42, 4 Pb 3.59

Entry 23:
Pm5SmPb8: relaxed, PBE.

a = 9.7280 Å, b = 9.7280 Å, c = 9.2659 Å
α = 90.00°, β = 90.00°, γ = 90.00°
With the nearest neighbours (Å) after each atom.
Space group I-4 (No. 82)
Inequivalent atoms, fractional coordinates:
1 Pm 0.0000 0.0000 0.0000 x2  8 Pb 3.25-3.45
2 Pm 0.1188 0.7780 0.3766 x8  8 Pb 3.23-3.49
3 Sm 0.0000 0.5000 0.7500 x2  8 Pb 3.22-3.29
4 Pb 0.0721 0.6572 0.0552 x8  5 Pm 3.23-3.49, 1 Sm 3.29, 2 Pb 3.36-3.45
5 Pb 0.0925 0.8172 0.7234 x8  1 Sm 3.22, 5 Pm 3.25-3.32, 1 Pb 3.45

| no. | energy (eV for the cell shown) |
| --- | --- |
| 1 | -59.2 |
| 2 | -118.5 |
| 3 | -18.3 |
| 4 | -210.8 |
| 5 | -51.3 |
| 6 | -25.1 |
| 7 | -54.7 |
| 8 | -52.0 |
| 9 | -134.5 |
| 10 | -118.7 |
| 11 | -78.4 |
| 12 | -42.9 |
| 13 | -74.0 |
| 14 | -52.2 |
| 15 | -100.7 |
| 16 | -29.0 |
| 17 | -91.2 |
| 18 | -18.9 |
| 19 | -74.0 |
| 20 | -128.6 |
| 21 | -75.6 |
| 22 | -18.9 |
| 23 | -127.1 |